The following is a PBE calculation of crystalline Ba4O3 at its relaxed geometry, from Alexandria via LeMat-Bulk.

Results
total magnetic moment: 0.00 μB/f.u.
excess energy over the best structure of this formula in the dataset: 4 meV per atom
SG: P-43m

Unit cell a=6.131 b=6.131 c=6.131 alpha=90.00 beta=90.00 gamma=90.00
Atoms (fractional coordinates):
O 0.500 0.500 0.000
O 0.500 0.000 0.500
O 0.000 0.500 0.500
Ba 0.267 0.733 0.267
Ba 0.267 0.267 0.733
Ba 0.733 0.267 0.267
Ba 0.733 0.733 0.733

=====

The following is a PBE calculation of crystalline Ba2LiHg7 at its relaxed geometry, from Alexandria via LeMat-Bulk.

Results
N(E_F): 5.12 states/eV/f.u.
energy relative to the elements: -362 meV/atom
total magnetic moment: 0.00 μB/f.u.
SG: P-4m2

Unit cell a=4.757 b=4.757 c=13.081 alpha=90.00 beta=90.00 gamma=90.00
Atoms (fractional coordinates):
Hg 0.500 0.500 0.500
Hg 0.000 0.500 0.644
Hg 0.000 0.000 0.000
Hg 0.000 0.500 0.870
Hg 0.000 0.000 0.500
Hg 0.500 0.000 0.356
Hg 0.500 0.000 0.130
Ba 0.500 0.000 0.745
Ba 0.000 0.500 0.255
Li 0.500 0.500 0.000

=====

The following is a PBE calculation of crystalline ZrRe3B at its relaxed geometry, from Alexandria via LeMat-Bulk.

Results
N(E_F): 6.76 states/eV/f.u.
energy relative to the elements: -43 meV/atom
total magnetic moment: 0.00 μB/f.u.
excess energy over the best structure of this formula in the dataset: 0 meV per atom
SG: Pm-3m

Unit cell a=4.211 b=4.211 c=4.211 alpha=90.00 beta=90.00 gamma=90.00
Atoms (fractional coordinates):
B 0.000 0.000 0.000
Re 0.000 0.000 0.500
Re 0.500 0.000 0.000
Re 0.000 0.500 0.000
Zr 0.500 0.500 0.500

=====

The following is a PBE calculation of crystalline BaZrPd2 at its relaxed geometry, from Alexandria via LeMat-Bulk.

Results
N(E_F): 4.75 states/eV/f.u.
energy relative to the elements: -110 meV/atom
total magnetic moment: 0.00 μB/f.u.
excess energy over the best structure of this formula in the dataset: 402 meV per atom
SG: Fm-3m

Unit cell a=5.094 b=5.094 c=5.094 alpha=60.00 beta=60.00 gamma=60.00
Atoms (fractional coordinates):
Ba 0.500 0.500 0.500
Pd 0.250 0.250 0.250
Pd 0.750 0.750 0.750
Zr 0.000 0.000 0.000

=====

The following is a PBE calculation of crystalline TaNb2FeTe at its relaxed geometry, from Alexandria via LeMat-Bulk.

Results
N(E_F): 6.82 states/eV/f.u.
total magnetic moment: 1.63 μB/f.u.
excess energy over the best structure of this formula in the dataset: 562 meV per atom
SG: P4/mmm

Unit cell a=5.015 b=4.405 c=5.015 alpha=90.00 beta=90.00 gamma=90.00
Last column: magnetic moment on the atom in μB.
Atoms (fractional coordinates):
Ta 0.500 0.500 0.500  -0.03
Nb 0.500 0.000 0.000  -0.07
Nb 0.000 0.000 0.500  0.00
Te 0.000 0.000 0.000  -0.03
Fe 0.000 0.500 0.000  1.82

=====

The following is a PBE calculation of crystalline Re3W2 at its relaxed geometry, from Alexandria via LeMat-Bulk.

Results
N(E_F): 6.06 states/eV/f.u.
energy relative to the elements: 215 meV/atom
total magnetic moment: 0.00 μB/f.u.
SG: R-3m

Unit cell a=11.588 b=11.588 c=11.588 alpha=13.87 beta=13.87 gamma=13.87
Atoms (fractional coordinates):
W 0.600 0.600 0.600
W 0.400 0.400 0.400
Re 0.801 0.801 0.801
Re 0.000 0.000 0.000
Re 0.199 0.199 0.199

=====

The following is a PBE calculation of crystalline Ga3NiPb at its relaxed geometry, from Alexandria via LeMat-Bulk.

Results
N(E_F): 2.77 states/eV/f.u.
energy relative to the elements: -19 meV/atom
total magnetic moment: 0.00 μB/f.u.
excess energy over the best structure of this formula in the dataset: 0 meV per atom
SG: Pm-3m

Unit cell a=4.699 b=4.699 c=4.699 alpha=90.00 beta=90.00 gamma=90.00
Atoms (fractional coordinates):
Ga 0.500 0.000 0.000
Ga 0.000 0.000 0.500
Ga 0.000 0.500 0.000
Pb 0.500 0.500 0.500
Ni 0.000 0.000 0.000

=====

The following is a PBE calculation of crystalline Mn2AlV2Ir5 at its relaxed geometry, from Alexandria via LeMat-Bulk.

Results
N(E_F): 8.58 states/eV/f.u.
energy relative to the elements: -161 meV/atom
total magnetic moment: 5.58 μB/f.u.
SG: P4/mbm

Unit cell a=3.838 b=8.828 c=8.828 alpha=90.00 beta=90.00 gamma=90.00
Last column: magnetic moment on the atom in μB.
Atoms (fractional coordinates):
Ir 0.500 0.696 0.423  0.11
Ir 0.500 0.577 0.696  0.11
Ir 0.500 0.804 0.923  0.11
Ir 0.500 0.196 0.077  0.11
Ir 0.500 0.304 0.577  0.11
Ir 0.500 0.000 0.500  0.02
Ir 0.500 0.500 0.000  0.02
Ir 0.500 0.423 0.304  0.11
Ir 0.500 0.077 0.804  0.11
Ir 0.500 0.923 0.196  0.11
Al 0.000 0.500 0.500  -0.02
Al 0.000 0.000 0.000  -0.02
V 0.000 0.133 0.633  -0.74
V 0.000 0.367 0.133  -0.74
V 0.000 0.867 0.367  -0.74
V 0.000 0.633 0.867  -0.74
Mn 0.000 0.835 0.665  3.27
Mn 0.000 0.665 0.165  3.27
Mn 0.000 0.335 0.835  3.27
Mn 0.000 0.165 0.335  3.27

=====

no.,total DFT energy (no corrections) (eV per atom)
1,-5.29
2,-1.15
3,-10.56
4,-5.32
5,-7.29
6,-12.44
7,-3.73
8,-8.62